An optimized crystal structure of La2ErZr. Source: Alexandria via LeMat-Bulk, functional GGA-PBE.

Lattice parameters (Å, degrees): 4.089 4.089 7.431 90.00 90.00 90.00
Space group P4/mmm (No. 123)
Asymmetric unit:
La1 0.000 0.000 0.229
Er1 0.500 0.500 0.500
Zr1 0.500 0.500 0.000

The total energy is -22.33 eV per cell. The value obtained for the total moment is 0.00 μB per cell. For the theoretical density, the calculation gives 7.17 g/cm³. As for the formation energy: 0.158 eV per atom.

An optimized crystal structure of La2ErZr. Source: Alexandria via LeMat-Bulk, functional GGA-PBE.

Lattice parameters (Å, degrees): 3.4190 3.4190 36.5819 90.00 90.00 120.00
Space group R-3m (No. 166, hexagonal axes)
Asymmetric unit:
La1 0.0000 0.0000 0.0841
Er1 0.0000 0.0000 0.5000
Zr1 0.0000 0.0000 0.0000

The total energy is -65.20 eV per cell. The value obtained for the total moment is 0.00 μB per cell. For the theoretical density, the calculation gives 7.21 g/cm³. As for the formation energy: 0.308 eV per atom.

An optimized crystal structure of La2ErZr. Source: Alexandria via LeMat-Bulk, functional GGA-PBE.

Lattice parameters (Å, degrees): 7.897 7.897 7.897 90.00 90.00 90.00
Space group Fm-3m (No. 225)
Asymmetric unit:
La1 0.250 0.250 0.250
Er1 0.000 0.000 0.000
Zr1 0.000 0.000 0.500

The total energy is -88.92 eV per cell. The value obtained for the total moment is 0.02 μB per cell. For the theoretical density, the calculation gives 7.23 g/cm³. As for the formation energy: 0.184 eV per atom.

An optimized crystal structure of La2ErZr. Source: Alexandria via LeMat-Bulk, functional GGA-PBE.

Lattice parameters (Å, degrees): 5.031 5.031 4.872 90.00 90.00 90.00
Space group P4/mmm (No. 123)
Asymmetric unit:
La1 0.000 0.500 0.000
Er1 0.000 0.000 0.500
Zr1 0.500 0.500 0.500

The total energy is -22.45 eV per cell. The value obtained for the total moment is 0.00 μB per cell. For the theoretical density, the calculation gives 7.22 g/cm³. As for the formation energy: 0.128 eV per atom.

An optimized crystal structure of La2ErZr. Source: Alexandria via LeMat-Bulk, functional GGA-PBE.

Lattice parameters (Å, degrees): 3.5212 3.5212 34.3870 90.00 90.00 120.00
Space group R3m (No. 160, hexagonal axes)
Asymmetric unit:
La1 0.0000 0.0000 0.0000
La2 0.0000 0.0000 0.1745
Er1 0.0000 0.0000 0.4188
Zr1 0.0000 0.0000 0.5882

The total energy is -67.22 eV per cell. The value obtained for the total moment is 0.00 μB per cell. For the theoretical density, the calculation gives 7.24 g/cm³. As for the formation energy: 0.140 eV per atom.

An optimized crystal structure of LiEr. Source: Alexandria via LeMat-Bulk, functional GGA-PBE.

Lattice parameters (Å, degrees): 3.673 3.673 3.673 90.00 90.00 90.00
Space group Pm-3m (No. 221)
Asymmetric unit:
Li1 0.000 0.000 0.000
Er1 0.500 0.500 0.500

The total energy is -6.16 eV per cell. The value obtained for the total moment is 0.00 μB per cell. For the theoretical density, the calculation gives 5.84 g/cm³. As for the formation energy: 0.158 eV per atom.

An optimized crystal structure of Li3Er. Source: Alexandria via LeMat-Bulk, functional GGA-PBE.

Lattice parameters (Å, degrees): 4.381 4.381 9.449 90.00 90.00 90.00
Space group I4/mmm (No. 139)
Asymmetric unit:
Li1 0.000 0.000 0.000
Li2 0.000 0.500 0.250
Er1 0.000 0.000 0.500

The total energy is -18.98 eV per cell. The value obtained for the total moment is 0.12 μB per cell. For the theoretical density, the calculation gives 3.44 g/cm³. As for the formation energy: 0.204 eV per atom.

An optimized crystal structure of Li2Er. Source: Alexandria via LeMat-Bulk, functional GGA-PBE.

Lattice parameters (Å, degrees): 5.739 3.307 8.111 90.00 103.48 90.00
Space group C2 (No. 5)
Asymmetric unit:
Li1 0.219 0.000 0.156
Er1 0.000 0.000 0.500

The total energy is -15.95 eV per cell. The value obtained for the total moment is 0.00 μB per cell. For the theoretical density, the calculation gives 4.02 g/cm³. As for the formation energy: 0.138 eV per atom.

An optimized crystal structure of Li2Er. Source: Alexandria via LeMat-Bulk, functional GGA-PBE.

Lattice parameters (Å, degrees): 3.602 3.602 10.635 90.00 90.00 90.00
Space group I4/mmm (No. 139)
Asymmetric unit:
Li1 0.000 0.000 0.190
Er1 0.000 0.000 0.500

The total energy is -15.97 eV per cell. The value obtained for the total moment is 0.00 μB per cell. For the theoretical density, the calculation gives 4.36 g/cm³. As for the formation energy: 0.136 eV per atom.

An optimized crystal structure of Li2Er. Source: Alexandria via LeMat-Bulk, functional GGA-PBE.

Lattice parameters (Å, degrees): 8.204 8.204 8.204 90.00 90.00 90.00
Space group Fd-3m (No. 227, origin choice 2)
Asymmetric unit:
Li1 0.000 0.000 0.000
Er1 0.125 0.125 0.625

The total energy is -64.20 eV per cell. The value obtained for the total moment is 0.00 μB per cell. For the theoretical density, the calculation gives 4.36 g/cm³. As for the formation energy: 0.122 eV per atom.

An optimized crystal structure of Li3Er. Source: Alexandria via LeMat-Bulk, functional GGA-PBE.

Lattice parameters (Å, degrees): 6.5066 6.5066 5.0152 90.00 90.00 120.00
Space group P6_3/mmc (No. 194)
Asymmetric unit:
Li1 0.1530 0.3061 0.2500
Er1 0.3333 0.6667 0.7500

The total energy is -18.88 eV per cell. The value obtained for the total moment is 0.00 μB per cell. For the theoretical density, the calculation gives 3.40 g/cm³. As for the formation energy: 0.216 eV per atom.

An optimized crystal structure of Li3Er. Source: Alexandria via LeMat-Bulk, functional GGA-PBE.

Lattice parameters (Å, degrees): 3.176 5.242 5.587 90.00 90.00 90.00
Space group Pmm2 (No. 25)
Asymmetric unit:
Li1 0.000 0.000 0.000
Li2 0.000 0.500 0.295
Li3 0.500 0.000 0.458
Er1 0.500 0.500 0.798

The total energy is -9.61 eV per cell. The value obtained for the total moment is 0.00 μB per cell. For the theoretical density, the calculation gives 3.36 g/cm³. As for the formation energy: 0.173 eV per atom.

An optimized crystal structure of LiEr4. Source: Alexandria via LeMat-Bulk, functional GGA-PBE.

Lattice parameters (Å, degrees): 5.316 5.316 5.316 90.00 90.00 90.00
Space group Pm-3m (No. 221)
Asymmetric unit:
Li1 0.000 0.000 0.000
Er1 0.000 0.000 0.500
Er2 0.500 0.500 0.500

The total energy is -17.89 eV per cell. The value obtained for the total moment is 0.00 μB per cell. For the theoretical density, the calculation gives 7.47 g/cm³. As for the formation energy: 0.454 eV per atom.

An optimized crystal structure of LiEr5. Source: Alexandria via LeMat-Bulk, functional GGA-PBE.

Lattice parameters (Å, degrees): 5.472 17.228 3.670 90.00 90.00 90.00
Space group Cmmm (No. 65)
Asymmetric unit:
Li1 0.000 0.000 0.000
Er1 0.000 0.142 0.500
Er2 0.000 0.314 0.000
Er3 0.000 0.500 0.500

The total energy is -48.68 eV per cell. The value obtained for the total moment is 0.00 μB per cell. For the theoretical density, the calculation gives 8.09 g/cm³. As for the formation energy: 0.065 eV per atom.